# 1
Compound: Be2AlSbC
Source: Alexandria
Functional: PBE-GGA
Structure: relaxed

Output
The calculation puts the density of states at the Fermi level at 2.94 states/eV/cell. As for the space group: P4/mmm, No. 123. For the energy relative to the elements, uncorrected, the calculation gives 2.23 eV/atom. For the total energy, the calculation gives -2.677 eV/atom.

Geometry as POSCAR:
```
Be2AlSbC
1.0
4.417 0.000 0.000
0.000 4.417 0.000
0.000 0.000 5.620
Be Al Sb C
2 1 1 1
Cartesian
0.000 2.208 0.000 Be
2.208 0.000 0.000 Be
0.000 0.000 2.810 Al
0.000 0.000 0.000 Sb
2.208 2.208 2.810 C
```

***

# 2
Compound: BeAl2SiC
Source: Alexandria
Functional: PBE-GGA
Structure: relaxed

Output
The calculation puts the density of states at the Fermi level at 1.89 states/eV/cell. As for the space group: P4/mmm, No. 123. For the energy relative to the elements, uncorrected, the calculation gives 1.68 eV/atom. For the total energy, the calculation gives -3.490 eV/atom.

Geometry as POSCAR:
```
BeAl2SiC
1.0
4.733 0.000 0.000
0.000 4.733 0.000
0.000 0.000 3.946
Be Al Si C
1 2 1 1
Cartesian
0.000 0.000 0.000 Be
0.000 2.366 1.973 Al
2.366 0.000 1.973 Al
0.000 0.000 1.973 Si
2.366 2.366 0.000 C
```

***

- energy relative to the elements, uncorrected of number 2 (BeAl2SiC)?
  1.68 eV/atom

***

- energy relative to the elements, uncorrected of number 1 (Be2AlSbC)?
  2.23 eV/atom

***

- What is the formula in the first record?
  Be2AlSbC